This record from the Alexandria database describes crystalline KBeTe2 at its relaxed geometry. The functional is PBE.

Results
* N(E_F): 3.2 states/eV/f.u.
* electronic total energy: -12.71 eV/f.u.
* ΔE_f (raw): -38.78 kJ/mol of atoms
* symmetry: Pm, No. 6

POSCAR file:
```
KBeTe2
1.0
3.597 0.000 0.000
0.000 6.203 0.458
0.000 3.879 7.320
Be K Te
1 1 2
direct
0.000 0.304 0.511
0.500 0.704 0.831
0.000 0.213 0.822
0.500 0.279 0.337
```